No. 1
! SmCu4Ir PBE-GGA optimized geometry; values from VASP
&SYSTEM
  ibrav = 0, nat = 6, ntyp = 3
/
ATOMIC_SPECIES
Sm 150.36 Sm.upf
Cu 63.55 Cu.upf
Ir 192.22 Ir.upf
ATOMIC_POSITIONS crystal
Sm 0.000 0.000 0.000
Cu 0.129 0.624 0.624
Cu 0.624 0.129 0.624
Cu 0.624 0.624 0.129
Cu 0.624 0.624 0.624
Ir 0.250 0.250 0.250
CELL_PARAMETERS angstrom
0.000 3.545 3.545
3.545 0.000 3.545
3.545 3.545 0.000
! energy of formation from the pure elements	-1.1	eV/f.u.
! space group	F-43m (216)

No. 2
! GaAg2Sb2 PBE-GGA optimized geometry; values from VASP
&SYSTEM
  ibrav = 0, nat = 10, ntyp = 3
/
ATOMIC_SPECIES
Ga 69.72 Ga.upf
Ag 107.87 Ag.upf
Sb 121.76 Sb.upf
ATOMIC_POSITIONS crystal
Ga 0.000 0.000 0.000
Ga 0.500 0.500 0.000
Ag 0.139 0.361 0.000
Ag 0.361 0.861 0.000
Ag 0.639 0.139 0.000
Ag 0.861 0.639 0.000
Sb 0.159 0.659 0.500
Sb 0.341 0.159 0.500
Sb 0.659 0.841 0.500
Sb 0.841 0.341 0.500
CELL_PARAMETERS angstrom
8.733 0.000 0.000
0.000 8.733 0.000
0.000 0.000 3.112
! formation energy (no corrections)	0.15	eV per atom
! E above lowest polymorph	0.03	eV/f.u.
! space group	P4/mbm (127)

For reference, total magnetization by record: 0.00 0.00 μB per formula unit.
For reference, calculated density by record: 11.12 7.40 g/cm3.